Density functional theory data (GGA-PBE) for an optimized crystal structure of ZrFeP.

Calculated values
For the formation energy, the calculation gives -490 meV/atom. The value obtained for the density of states at the Fermi level is 2.68 states/eV/cell.

a = 5.413 Å, b = 5.414 Å, c = 2.934 Å
α = 74.26°, β = 74.30°, γ = 31.44°
Last column: magnetic moment on the atom in μB.
Fractional positions:
Fe1 0.966 0.966 0.034  0.63
P1 0.367 0.367 0.633  -0.02
Zr1 0.667 0.667 0.333  -0.01